DFT (PBE with a Hubbard U) results for an optimized crystal structure of K2Cr2O7.

## Properties
E above lowest polymorph: 0.02 eV per formula unit

Cell: 13.388 7.569 7.588 Å, 90.00 91.14 90.00°
Space group C2/c (No. 15)
One atom of each set of equivalent atoms:
1 K 0.147 0.145 0.363
2 Cr 0.103 0.323 0.867
3 O 0.000 0.422 0.750
4 O 0.062 0.195 0.024
5 O 0.166 0.201 0.729
6 O 0.174 0.480 0.946